Record 1
Dy3Y3Sb2Os | GGA-PBE | relaxed

Output
Crystal system: hexagonal
Energy above the most stable polymorph in this dataset, eV/f.u.: 0.000
Space-group type: P-62m, No. 189
E_tot, eV/atom: -6.529

a = 8.1939 Å, b = 8.1939 Å, c = 4.2118 Å
α = 90.00°, β = 90.00°, γ = 120.00°
Closest atoms and distances in Å follow each position.
Fractional positions:
Dy 0.2375 0.0000 0.5000  2 Os 2.87, 2 Sb 3.20
Dy 0.0000 0.2375 0.5000  2 Os 2.87, 2 Sb 3.20
Dy 0.7625 0.7625 0.5000  2 Os 2.87, 2 Sb 3.20
Os 0.0000 0.0000 0.0000  6 Dy 2.87
Sb 0.6667 0.3333 0.5000  3 Dy 3.20, 6 Y 3.28
Sb 0.3333 0.6667 0.5000  3 Dy 3.20, 6 Y 3.28
Y 0.6043 0.0000 0.0000  1 Os 3.24, 4 Sb 3.28, 4 Dy 3.52
Y 0.3957 0.3957 0.0000  1 Os 3.24, 4 Sb 3.28, 4 Dy 3.52
Y 0.0000 0.6043 0.0000  1 Os 3.24, 4 Sb 3.28, 4 Dy 3.52

---

Record 2
AlTcGe | GGA-PBE | relaxed

Output
Crystal system: cubic
Energy above the most stable polymorph in this dataset, eV/f.u.: 1.548
Space-group type: F-43m, No. 216
E_tot, eV/atom: -6.165

a = 4.1872 Å, b = 4.1872 Å, c = 4.1872 Å
α = 60.00°, β = 60.00°, γ = 60.00°
Closest atoms and distances in Å follow each position.
Fractional positions:
Al 0.2500 0.2500 0.2500  4 Tc 2.56
Ge 0.7500 0.7500 0.7500  4 Tc 2.56
Tc 0.0000 0.0000 0.0000  4 Ge 2.56, 4 Al 2.56

---

Record 3
YEr2Cd3AgAu2 | GGA-PBE | relaxed

Output
Crystal system: orthorhombic
Space-group type: Amm2, No. 38
E_tot, eV/atom: -3.651

a = 3.8262 Å, b = 7.8494 Å, c = 7.8494 Å
α = 120.22°, β = 90.00°, γ = 90.00°
Closest atoms and distances in Å follow each position.
Fractional positions:
Ag 0.0000 0.9991 0.9991  6 Cd 2.80-2.81
Au 0.5000 0.6688 0.3326  3 Cd 2.91-2.95, 4 Er 3.04, 2 Y 3.07
Au 0.5000 0.3326 0.6688  3 Cd 2.91-2.95, 4 Er 3.04, 2 Y 3.07
Cd 0.5000 0.9994 0.2623  2 Ag 2.81, 2 Au 2.91-2.94
Cd 0.5000 0.7383 0.7383  2 Ag 2.80, 2 Au 2.95
Cd 0.5000 0.2623 0.9994  2 Ag 2.81, 2 Au 2.91-2.94
Er 0.0000 0.5918 0.0000  4 Au 3.04, 1 Ag 3.20, 6 Cd 3.22-3.40
Er 0.0000 0.0000 0.5918  4 Au 3.04, 1 Ag 3.20, 6 Cd 3.22-3.40
Y 0.0000 0.4076 0.4076  4 Au 3.07, 1 Ag 3.20, 6 Cd 3.22-3.40

---

Record 4
LaZn2O4 | GGA-PBE | relaxed

Output
Crystal system: cubic
Space-group type: Fd-3m, No. 227
E_tot, eV/atom: -5.677

a = 6.3955 Å, b = 6.3955 Å, c = 6.3955 Å
α = 120.00°, β = 90.00°, γ = 120.00°
Closest atoms and distances in Å follow each position.
Fractional positions:
La 0.0000 0.0000 0.0000  4 O 2.22
La 0.7500 0.5000 0.2500  4 O 2.22
O 0.1760 0.7841 0.3919  3 Zn 2.12, 1 La 2.22
O 0.6079 0.2159 0.3919  3 Zn 2.12, 1 La 2.22
O 0.6081 0.7841 0.3921  3 Zn 2.12, 1 La 2.22
O 0.1419 0.2841 0.4260  3 Zn 2.12, 1 La 2.22
O 0.6081 0.2159 0.8240  3 Zn 2.12, 1 La 2.22
O 0.1419 0.7159 0.8579  3 Zn 2.12, 1 La 2.22
O 0.1421 0.2841 0.8581  3 Zn 2.12, 1 La 2.22
O 0.5740 0.7159 0.8581  3 Zn 2.12, 1 La 2.22
Zn 0.3750 0.7500 0.1250  6 O 2.12
Zn 0.8750 0.2500 0.6250  6 O 2.12
Zn 0.3750 0.7500 0.6250  6 O 2.12
Zn 0.3750 0.2500 0.6250  6 O 2.12

---

Record 5
Cu7Ag3 | GGA-PBE | relaxed

Output
Crystal system: monoclinic
Energy above the most stable polymorph in this dataset, eV/f.u.: 0.475
Space-group type: C2/m, No. 12
E_tot, eV/atom: -3.357

a = 7.1711 Å, b = 7.1711 Å, c = 7.4537 Å
α = 105.72°, β = 105.72°, γ = 21.94°
Closest atoms and distances in Å follow each position.
Fractional positions:
Ag 0.0000 0.0000 0.0000  6 Cu 2.70-2.77, 6 Ag 2.73-2.80
Ag 0.3926 0.3926 0.2074  8 Cu 2.61-2.86, 4 Ag 2.73-2.80
Ag 0.6074 0.6074 0.7926  8 Cu 2.61-2.86, 4 Ag 2.73-2.80
Cu 0.1996 0.1996 0.1159  8 Cu 2.61-2.87, 4 Ag 2.61-2.76
Cu 0.6038 0.6038 0.3163  9 Cu 2.55-2.73, 2 Ag 2.77
Cu 0.7944 0.7944 0.4085  10 Cu 2.50-2.79, 2 Ag 2.68
Cu 0.0000 0.0000 0.5000  8 Cu 2.64-2.79, 4 Ag 2.66
Cu 0.2056 0.2056 0.5915  10 Cu 2.50-2.79, 2 Ag 2.68
Cu 0.3962 0.3962 0.6837  9 Cu 2.55-2.73, 2 Ag 2.77
Cu 0.8004 0.8004 0.8841  8 Cu 2.61-2.87, 4 Ag 2.61-2.76

---

Record 6
ErPaFe | GGA-PBE | relaxed

Output
Crystal system: cubic
Space-group type: F-43m, No. 216
E_tot, eV/atom: -7.222

a = 4.5859 Å, b = 4.5859 Å, c = 4.5859 Å
α = 60.00°, β = 60.00°, γ = 60.00°
Closest atoms and distances in Å follow each position.
Fractional positions:
Er 0.2500 0.2500 0.2500  4 Fe 2.81
Fe 0.0000 0.0000 0.0000  4 Er 2.81, 4 Pa 2.81
Pa 0.7500 0.7500 0.7500  4 Fe 2.81

---

Record 7
Na4Cd3Se5 | GGA-PBE | relaxed

Output
Crystal system: orthorhombic
Space-group type: Pnma, No. 62
E_tot, eV/atom: -2.986

a = 14.1178 Å, b = 4.2682 Å, c = 20.2828 Å
α = 90.00°, β = 90.00°, γ = 90.00°
Closest atoms and distances in Å follow each position.
Fractional positions:
Cd 0.7059 0.2500 0.0346  4 Se 2.67-2.70
Cd 0.9242 0.7500 0.1298  4 Se 2.66-2.76
Cd 0.6830 0.7500 0.2166  4 Se 2.64-2.76
Cd 0.1830 0.7500 0.2834  4 Se 2.64-2.76
Cd 0.4242 0.7500 0.3702  4 Se 2.66-2.76
Cd 0.2059 0.2500 0.4654  4 Se 2.67-2.70
Cd 0.7941 0.7500 0.5346  4 Se 2.67-2.70
Cd 0.5758 0.2500 0.6298  4 Se 2.66-2.76
Cd 0.8170 0.2500 0.7166  4 Se 2.64-2.76
Cd 0.3170 0.2500 0.7834  4 Se 2.64-2.76
Cd 0.0758 0.2500 0.8702  4 Se 2.66-2.76
Cd 0.2941 0.7500 0.9654  4 Se 2.67-2.70
Na 0.1121 0.2500 0.0519  5 Se 3.00-3.09, 1 Na 3.28
Na 0.4941 0.7500 0.0806  5 Se 3.05-3.13
Na 0.2761 0.2500 0.1662  5 Se 2.92-3.12
Na 0.0026 0.2500 0.2319  5 Se 2.85-3.08, 2 Cd 3.17
Na 0.5026 0.2500 0.2681  5 Se 2.85-3.08, 2 Cd 3.17
Na 0.7761 0.2500 0.3338  5 Se 2.92-3.12
Na 0.9941 0.7500 0.4194  5 Se 3.05-3.13
Na 0.6121 0.2500 0.4481  5 Se 3.00-3.09, 1 Na 3.28
Na 0.3879 0.7500 0.5519  5 Se 3.00-3.09, 1 Na 3.28
Na 0.0059 0.2500 0.5806  5 Se 3.05-3.13
Na 0.2239 0.7500 0.6662  5 Se 2.92-3.12
Na 0.4974 0.7500 0.7319  5 Se 2.85-3.08, 2 Cd 3.17
Na 0.9974 0.7500 0.7681  5 Se 2.85-3.08, 2 Cd 3.17
Na 0.7239 0.7500 0.8338  5 Se 2.92-3.12
Na 0.5059 0.2500 0.9194  5 Se 3.05-3.13
Na 0.8879 0.7500 0.9481  5 Se 3.00-3.09, 1 Na 3.28
Se 0.3555 0.2500 0.0330  2 Cd 2.68, 1 Na 2.92
Se 0.8933 0.2500 0.0531  3 Cd 2.67-2.68
Se 0.6137 0.2500 0.1509  3 Cd 2.70, 1 Na 2.85
Se 0.1159 0.7500 0.1557  2 Cd 2.76, 4 Na 3.00-3.08
Se 0.3626 0.7500 0.2465  2 Cd 2.64-2.66, 4 Na 2.94-2.95
Se 0.8626 0.7500 0.2535  2 Cd 2.64-2.66, 4 Na 2.94-2.95
Se 0.6159 0.7500 0.3443  2 Cd 2.76, 4 Na 3.00-3.08
Se 0.1137 0.2500 0.3491  3 Cd 2.70, 1 Na 2.85
Se 0.3933 0.2500 0.4469  3 Cd 2.67-2.68
Se 0.8556 0.2500 0.4670  2 Cd 2.68, 1 Na 2.92
Se 0.1444 0.7500 0.5330  2 Cd 2.68, 1 Na 2.92
Se 0.6067 0.7500 0.5531  3 Cd 2.67-2.68
Se 0.8863 0.7500 0.6509  3 Cd 2.70, 1 Na 2.85
Se 0.3841 0.2500 0.6557  2 Cd 2.76, 4 Na 3.00-3.08
Se 0.1374 0.2500 0.7465  2 Cd 2.64-2.66, 4 Na 2.94-2.95
Se 0.6374 0.2500 0.7535  2 Cd 2.64-2.66, 4 Na 2.94-2.95
Se 0.8841 0.2500 0.8443  2 Cd 2.76, 4 Na 3.00-3.08
Se 0.3863 0.7500 0.8491  3 Cd 2.70, 1 Na 2.85
Se 0.1067 0.7500 0.9469  3 Cd 2.67-2.68
Se 0.6444 0.7500 0.9670  2 Cd 2.68, 1 Na 2.92

---

Record 8
BaZn2GeAu | GGA-PBE | relaxed

Output
Crystal system: tetragonal
Space-group type: I4mm, No. 107
E_tot, eV/atom: -2.928

a = 6.4699 Å, b = 6.4699 Å, c = 6.4699 Å
α = 139.29°, β = 139.29°, γ = 58.94°
Closest atoms and distances in Å follow each position.
Fractional positions:
Au 0.3795 0.3795 0.0000  4 Zn 2.70, 1 Ge 2.75
Ba 0.0029 0.0029 0.0000  4 Ge 3.46, 4 Au 3.47, 8 Zn 3.55-3.66
Ge 0.6234 0.6234 0.0000  4 Zn 2.65, 1 Au 2.75
Zn 0.7471 0.2471 0.5000  2 Ge 2.65, 2 Au 2.70
Zn 0.2471 0.7471 0.5000  2 Ge 2.65, 2 Au 2.70

---

Record 9
BaMoIr | GGA-PBE | relaxed

Output
Crystal system: cubic
Energy above the most stable polymorph in this dataset, eV/f.u.: 0.000
Space-group type: F-43m, No. 216
E_tot, eV/atom: -6.104

a = 4.6452 Å, b = 4.6452 Å, c = 4.6452 Å
α = 60.00°, β = 60.00°, γ = 60.00°
Closest atoms and distances in Å follow each position.
Fractional positions:
Ba 0.2500 0.2500 0.2500  4 Mo 2.84
Ir 0.7500 0.7500 0.7500  4 Mo 2.84
Mo 0.0000 0.0000 0.0000  4 Ba 2.84, 4 Ir 2.84

---

Record 10
Sm3In3CuPd2 | GGA-PBE | relaxed

Output
Crystal system: hexagonal
Space-group type: P-62m, No. 189
E_tot, eV/atom: -4.735

a = 7.7296 Å, b = 7.7296 Å, c = 3.9502 Å
α = 90.00°, β = 90.00°, γ = 120.00°
Closest atoms and distances in Å follow each position.
Fractional positions:
Cu 0.0000 0.0000 0.0000  6 In 2.76
In 0.2488 0.0000 0.5000  2 Cu 2.76, 2 Pd 2.96
In 0.0000 0.2488 0.5000  2 Cu 2.76, 2 Pd 2.96
In 0.7512 0.7512 0.5000  2 Cu 2.76, 2 Pd 2.96
Pd 0.6667 0.3333 0.5000  3 In 2.96, 6 Sm 3.06
Pd 0.3333 0.6667 0.5000  3 In 2.96, 6 Sm 3.06
Sm 0.5884 0.0000 0.0000  4 Pd 3.06, 1 Cu 3.18, 6 In 3.29-3.41
Sm 0.4116 0.4116 0.0000  4 Pd 3.06, 1 Cu 3.18, 6 In 3.29-3.41
Sm 0.0000 0.5884 0.0000  4 Pd 3.06, 1 Cu 3.18, 6 In 3.29-3.41

---

Record 11
BeCoCuAs | GGA-PBE | relaxed

Output
Crystal system: cubic
Energy above the most stable polymorph in this dataset, eV/f.u.: 0.000
Space-group type: F-43m, No. 216
E_tot, eV/atom: -4.708

a = 4.0034 Å, b = 4.0034 Å, c = 4.0034 Å
α = 60.00°, β = 60.00°, γ = 60.00°
Closest atoms and distances in Å follow each position.
Fractional positions:
As 0.2500 0.2500 0.2500  4 Cu 2.45, 4 Co 2.45
Be 0.7500 0.7500 0.7500  4 Co 2.45, 4 Cu 2.45
Co 0.5000 0.5000 0.5000  4 Be 2.45, 4 As 2.45
Cu 0.0000 0.0000 0.0000  4 As 2.45, 4 Be 2.45